Entry 1:
## Sm2TmPd (PBE)

Data for Sm2TmPd after structural relaxation.

Geometry as POSCAR:
```
Sm2TmPd
1.0
-2.881 -0.217 2.236
-1.787 -1.981 -2.495
3.101 -6.973 3.317
Tm Pd Sm
1 1 2
direct
0.500 0.500 0.500 Tm
0.500 0.500 0.000 Pd
0.000 0.000 0.795 Sm
0.000 0.000 0.205 Sm
```

Calculated values
space group = P4/mmm, No. 123
calculated total energy = -0.3764 Ry/atom
E_form = -0.35 eV per atom

***

Entry 2:
## La2TbAg5 (PBE)

Data for La2TbAg5 after structural relaxation.

Geometry as POSCAR:
```
La2TbAg5
1.0
5.175 0.000 0.000
0.000 5.175 0.000
-2.588 -2.588 7.352
La Tb Ag
2 1 5
direct
0.728 0.728 0.457 La
0.272 0.272 0.543 La
0.000 0.000 0.000 Tb
0.500 0.500 0.000 Ag
0.891 0.391 0.783 Ag
0.391 0.891 0.783 Ag
0.109 0.609 0.217 Ag
0.609 0.109 0.217 Ag
```

Calculated values
space group = I4/mmm, No. 139
calculated total energy = -0.2791 Ry/atom
E_form = -0.20 eV per atom

***

Entry 3:
## Y2OsPtAu (PBE)

Data for Y2OsPtAu after structural relaxation.

Geometry as POSCAR:
```
Y2OsPtAu
1.0
5.383 0.000 0.000
0.000 4.738 0.000
0.000 0.000 5.383
Y Os Au Pt
2 1 1 1
direct
0.000 0.000 0.500 Y
0.500 0.000 0.000 Y
0.000 0.500 0.000 Os
0.000 0.000 0.000 Au
0.500 0.500 0.500 Pt
```

Calculated values
space group = P4/mmm, No. 123
calculated total energy = -0.4375 Ry/atom
E_form = 0.74 eV per atom

***

Entry 4:
## MnTlFe2As (PBE)

Data for MnTlFe2As after structural relaxation.

Geometry as POSCAR:
```
MnTlFe2As
1.0
4.702 0.000 0.000
0.000 5.101 0.000
0.000 0.000 4.702
Tl Mn As Fe
1 1 1 2
direct
0.000 0.000 0.000 Tl
0.500 0.500 0.500 Mn
0.000 0.500 0.000 As
0.000 0.000 0.500 Fe
0.500 0.000 0.000 Fe
```

Calculated values
space group = P4/mmm, No. 123
calculated total energy = -0.2958 Ry/atom
E_form = 2.60 eV per atom

***

Entry 5:
## TlCo2Pb (PBE)

Data for TlCo2Pb after structural relaxation.

Geometry as POSCAR:
```
TlCo2Pb
1.0
-4.980 -3.088 4.027
4.389 0.211 5.590
-1.381 1.290 5.558
Pb Tl Co
2 2 4
direct
0.000 0.000 0.000 Pb
0.750 0.250 0.500 Pb
0.500 0.500 0.000 Tl
0.250 0.750 0.500 Tl
0.627 0.125 0.250 Co
0.123 0.625 0.250 Co
0.375 0.373 0.750 Co
0.875 0.877 0.750 Co
```

Calculated values
space group = I-42d, No. 122
calculated total energy = -0.3097 Ry/atom
E_form = 0.86 eV per atom

***

Entry 6:
## CsFe2Cl6 (PBE)

Data for CsFe2Cl6 after structural relaxation.

Geometry as POSCAR:
```
CsFe2Cl6
1.0
6.067 -0.556 1.598
1.698 10.136 -0.068
-1.961 -0.669 10.067
Cs Fe Cl
2 4 12
direct
0.250 0.139 0.861 Cs
0.750 0.861 0.139 Cs
0.294 0.635 0.778 Fe
0.206 0.222 0.365 Fe
0.706 0.365 0.222 Fe
0.794 0.778 0.635 Fe
0.448 0.722 0.599 Cl
0.052 0.401 0.278 Cl
0.552 0.278 0.401 Cl
0.948 0.599 0.722 Cl
0.948 0.805 0.445 Cl
0.552 0.555 0.195 Cl
0.052 0.195 0.555 Cl
0.448 0.445 0.805 Cl
0.269 0.789 0.949 Cl
0.231 0.051 0.211 Cl
0.731 0.211 0.051 Cl
0.769 0.949 0.789 Cl
```

Calculated values
space group = C2/c, No. 15
calculated total energy = -0.3145 Ry/atom
uncorrected formation energy = -24.74 kcal/mol of atoms

***

Entry 7:
## KLaPt2 (PBE)

Data for KLaPt2 after structural relaxation.

Geometry as POSCAR:
```
KLaPt2
1.0
6.064 0.004 -0.001
2.869 5.343 0.001
-4.047 -3.375 3.002
K La Pt
1 1 2
direct
0.507 0.507 0.000 K
0.210 0.710 0.500 La
0.992 0.992 0.000 Pt
0.791 0.291 0.500 Pt
```

Calculated values
space group = Imm2, No. 44
calculated total energy = -0.3621 Ry/atom
E_form = -0.40 eV per atom

***

Entry 8:
## Cs4BaAc3O8 (PBE)

Data for Cs4BaAc3O8 after structural relaxation.

Geometry as POSCAR:
```
Cs4BaAc3O8
1.0
7.888 0.000 0.000
0.000 8.342 0.308
-3.944 -3.938 5.582
Cs Ba Ac O
4 1 3 8
direct
0.500 0.000 0.000 Cs
0.500 0.000 0.500 Cs
0.000 0.000 0.000 Cs
0.000 0.000 0.500 Cs
0.000 0.500 0.000 Ba
0.500 0.500 0.000 Ac
0.500 0.500 0.500 Ac
0.000 0.500 0.500 Ac
0.237 0.679 0.943 O
0.236 0.679 0.473 O
0.273 0.320 0.547 O
0.706 0.679 0.943 O
0.294 0.321 0.057 O
0.727 0.680 0.453 O
0.764 0.321 0.527 O
0.763 0.321 0.057 O
```

Calculated values
space group = R-3m, No. 166
calculated total energy = -0.4306 Ry/atom
uncorrected formation energy = -52.48 kcal/mol of atoms